# YMnCr2, relaxed, DFT PBE-GGA
data_YMnCr2
_chemical_formula_sum 'Y1 Mn1 Cr2'
_symmetry_space_group_name_H-M 'P 1'
_symmetry_Int_Tables_number 1
_cell_length_a 4.527
_cell_length_b 4.527
_cell_length_c 3.438
_cell_angle_alpha 90.00
_cell_angle_beta 90.00
_cell_angle_gamma 90.00
loop_
_symmetry_equiv_pos_as_xyz
'x,y,z'
loop_
_atom_site_label
_atom_site_fract_x
_atom_site_fract_y
_atom_site_fract_z
Y1 0.000 0.000 0.000
Mn1 0.500 0.500 0.000
Cr1 0.000 0.500 0.500
Cr2 0.500 0.000 0.500
# volume	17.611	Å³/atom
# calculated formation energy	210	kJ/mol of formula units
# energy above the most stable polymorph in this dataset	255.1	meV per atom
# symmetry	P4/mmm, No. 123
# total moment	2.33	μB per formula unit